No. 1
## TcBi2Pb (PBE)

Data for a relaxed TcBi2Pb crystal.

Properties
Magnetization = 3.6 Bohr magnetons per cell
Space group = F-43m, No. 216

POSCAR file:
```
TcBi2Pb
1.0
7.342 0.000 0.000
0.000 7.342 0.000
0.000 0.000 7.342
Tc Bi Pb
4 8 4
direct
0.000 0.000 0.000 Tc
0.000 0.500 0.500 Tc
0.500 0.000 0.500 Tc
0.500 0.500 0.000 Tc
0.000 0.000 0.500 Bi
0.000 0.500 0.000 Bi
0.250 0.250 0.750 Bi
0.250 0.750 0.250 Bi
0.500 0.000 0.000 Bi
0.500 0.500 0.500 Bi
0.750 0.250 0.250 Bi
0.750 0.750 0.750 Bi
0.250 0.250 0.250 Pb
0.250 0.750 0.750 Pb
0.750 0.250 0.750 Pb
0.750 0.750 0.250 Pb
```



No. 2
## TcBi5Pb3 (PBE)

Data for a relaxed TcBi5Pb3 crystal.

Properties
Magnetization = 0.0 Bohr magnetons per cell
Space group = P-62m, No. 189

POSCAR file:
```
TcBi5Pb3
1.0
8.438 0.000 0.000
-4.219 7.308 0.000
0.000 0.000 4.286
Tc Bi Pb
1 5 3
direct
0.000 0.000 0.000 Tc
0.000 0.231 0.500 Bi
0.231 0.000 0.500 Bi
0.333 0.667 0.500 Bi
0.667 0.333 0.500 Bi
0.769 0.769 0.500 Bi
0.000 0.633 0.000 Pb
0.367 0.367 0.000 Pb
0.633 0.000 0.000 Pb
```



No. 3
## TmBiPb (PBE)

Data for a relaxed TmBiPb crystal.

Properties
Magnetization = 0.0 Bohr magnetons per cell
Distance to the lowest polymorph of the same formula = 188 meV per atom
Space group = F-43m, No. 216

POSCAR file:
```
TmBiPb
1.0
7.428 0.000 0.000
0.000 7.428 0.000
0.000 0.000 7.428
Tm Bi Pb
4 4 4
direct
0.000 0.000 0.000 Tm
0.000 0.500 0.500 Tm
0.500 0.000 0.500 Tm
0.500 0.500 0.000 Tm
0.000 0.000 0.500 Bi
0.000 0.500 0.000 Bi
0.500 0.000 0.000 Bi
0.500 0.500 0.500 Bi
0.250 0.250 0.750 Pb
0.250 0.750 0.250 Pb
0.750 0.250 0.250 Pb
0.750 0.750 0.750 Pb
```



No. 4
## TmBiPb (PBE)

Data for a relaxed TmBiPb crystal.

Properties
Magnetization = 0.0 Bohr magnetons per cell
Distance to the lowest polymorph of the same formula = 0 meV per atom
Space group = F-43m, No. 216

POSCAR file:
```
TmBiPb
1.0
7.363 0.000 0.000
0.000 7.363 0.000
0.000 0.000 7.363
Tm Bi Pb
4 4 4
direct
0.000 0.000 0.000 Tm
0.000 0.500 0.500 Tm
0.500 0.000 0.500 Tm
0.500 0.500 0.000 Tm
0.250 0.250 0.750 Bi
0.250 0.750 0.250 Bi
0.750 0.250 0.250 Bi
0.750 0.750 0.750 Bi
0.250 0.250 0.250 Pb
0.250 0.750 0.750 Pb
0.750 0.250 0.750 Pb
0.750 0.750 0.250 Pb
```



No. 5
## BiPbW (PBE)

Data for a relaxed BiPbW crystal.

Properties
Magnetization = 6.5 Bohr magnetons per cell
Distance to the lowest polymorph of the same formula = 0 meV per atom
Space group = F-43m, No. 216

POSCAR file:
```
BiPbW
1.0
6.936 0.000 0.000
0.000 6.936 0.000
0.000 0.000 6.936
Bi Pb W
4 4 4
direct
0.000 0.000 0.000 Bi
0.000 0.500 0.500 Bi
0.500 0.000 0.500 Bi
0.500 0.500 0.000 Bi
0.000 0.000 0.500 Pb
0.000 0.500 0.000 Pb
0.500 0.000 0.000 Pb
0.500 0.500 0.500 Pb
0.250 0.250 0.250 W
0.250 0.750 0.750 W
0.750 0.250 0.750 W
0.750 0.750 0.250 W
```



No. 6
## ZnBiPb (PBE)

Data for a relaxed ZnBiPb crystal.

Properties
Distance to the lowest polymorph of the same formula = 0 meV per atom
Space group = F-43m, No. 216

POSCAR file:
```
ZnBiPb
1.0
7.354 0.000 0.000
0.000 7.354 0.000
0.000 0.000 7.354
Zn Bi Pb
4 4 4
direct
0.000 0.000 0.000 Zn
0.000 0.500 0.500 Zn
0.500 0.000 0.500 Zn
0.500 0.500 0.000 Zn
0.250 0.250 0.750 Bi
0.250 0.750 0.250 Bi
0.750 0.250 0.250 Bi
0.750 0.750 0.750 Bi
0.000 0.000 0.500 Pb
0.000 0.500 0.000 Pb
0.500 0.000 0.000 Pb
0.500 0.500 0.500 Pb
```



No. 7
## Bi2Pd9 (PBE)

Data for a relaxed Bi2Pd9 crystal.

Properties
Space group = P-3m1, No. 164

POSCAR file:
```
Bi2Pd9
1.0
2.993 0.000 0.000
-1.496 2.592 0.000
0.000 0.000 35.302
Bi Pd
2 9
direct
0.333 0.667 0.306 Bi
0.667 0.333 0.694 Bi
0.000 0.000 0.000 Pd
0.000 0.000 0.180 Pd
0.000 0.000 0.820 Pd
0.333 0.667 0.119 Pd
0.333 0.667 0.758 Pd
0.333 0.667 0.941 Pd
0.667 0.333 0.059 Pd
0.667 0.333 0.242 Pd
0.667 0.333 0.881 Pd
```



No. 8
## BiPd (PBE)

Data for a relaxed BiPd crystal.

Properties
Space group = Cmcm, No. 63

POSCAR file:
```
BiPd
1.0
3.772 0.000 0.000
0.000 10.620 0.000
0.000 0.000 4.334
Bi Pd
4 4
direct
0.000 0.142 0.250 Bi
0.000 0.858 0.750 Bi
0.500 0.358 0.750 Bi
0.500 0.642 0.250 Bi
0.000 0.415 0.250 Pd
0.000 0.585 0.750 Pd
0.500 0.085 0.750 Pd
0.500 0.915 0.250 Pd
```



No. 9
## BiPd9 (PBE)

Data for a relaxed BiPd9 crystal.

Properties
Distance to the lowest polymorph of the same formula = 30 meV per atom
Space group = P2_1/m, No. 11

POSCAR file:
```
BiPd9
1.0
4.687 0.000 0.000
0.000 2.933 0.000
-1.254 0.000 35.580
Bi Pd
2 18
direct
0.090 0.250 0.315 Bi
0.910 0.750 0.685 Bi
0.077 0.250 0.126 Pd
0.085 0.250 0.937 Pd
0.102 0.250 0.747 Pd
0.239 0.750 0.189 Pd
0.250 0.750 0.000 Pd
0.262 0.750 0.811 Pd
0.410 0.250 0.253 Pd
0.415 0.250 0.063 Pd
0.423 0.250 0.874 Pd
0.577 0.750 0.126 Pd
0.585 0.750 0.937 Pd
0.590 0.750 0.747 Pd
0.738 0.250 0.189 Pd
0.750 0.250 0.000 Pd
0.761 0.250 0.811 Pd
0.898 0.750 0.253 Pd
0.915 0.750 0.063 Pd
0.923 0.750 0.874 Pd
```



No. 10
## BiPd (PBE)

Data for a relaxed BiPd crystal.

Properties
Space group = Fm-3m, No. 225

POSCAR file:
```
BiPd
1.0
5.722 0.000 0.000
0.000 5.722 0.000
0.000 0.000 5.722
Bi Pd
4 4
direct
0.000 0.000 0.000 Bi
0.000 0.500 0.500 Bi
0.500 0.000 0.500 Bi
0.500 0.500 0.000 Bi
0.000 0.000 0.500 Pd
0.000 0.500 0.000 Pd
0.500 0.000 0.000 Pd
0.500 0.500 0.500 Pd
```



No. 11
## BiPd (PBE)

Data for a relaxed BiPd crystal.

Properties
Space group = P-6m2, No. 187

POSCAR file:
```
BiPd
1.0
3.516 0.000 0.000
-1.758 3.045 0.000
0.000 0.000 4.182
Bi Pd
1 1
direct
0.000 0.000 0.000 Bi
0.667 0.333 0.500 Pd
```



No. 12
## BiPd (PBE)

Data for a relaxed BiPd crystal.

Properties
Space group = F-43m, No. 216

POSCAR file:
```
BiPd
1.0
6.169 0.000 0.000
0.000 6.169 0.000
0.000 0.000 6.169
Bi Pd
4 4
direct
0.000 0.000 0.000 Bi
0.000 0.500 0.500 Bi
0.500 0.000 0.500 Bi
0.500 0.500 0.000 Bi
0.250 0.250 0.750 Pd
0.250 0.750 0.250 Pd
0.750 0.250 0.250 Pd
0.750 0.750 0.750 Pd
```



No. 13
## BiPd7 (PBE)

Data for a relaxed BiPd7 crystal.

Properties
Space group = Pmmn, No. 59

POSCAR file:
```
BiPd7
1.0
2.866 0.000 0.000
0.000 3.849 0.000
0.000 0.000 33.972
Bi Pd
2 14
direct
0.250 0.250 0.186 Bi
0.750 0.750 0.814 Bi
0.250 0.250 0.274 Pd
0.250 0.250 0.356 Pd
0.250 0.250 0.438 Pd
0.250 0.250 0.521 Pd
0.250 0.250 0.603 Pd
0.250 0.250 0.685 Pd
0.250 0.250 0.769 Pd
0.750 0.750 0.231 Pd
0.750 0.750 0.315 Pd
0.750 0.750 0.397 Pd
0.750 0.750 0.479 Pd
0.750 0.750 0.562 Pd
0.750 0.750 0.644 Pd
0.750 0.750 0.726 Pd
```



No. 14
## BiPd (PBE)

Data for a relaxed BiPd crystal.

Properties
Space group = Cmc2_1, No. 36

POSCAR file:
```
BiPd
1.0
4.413 -3.631 0.000
4.413 3.631 0.000
0.000 0.000 10.775
Bi Pd
8 8
direct
0.123 0.877 0.500 Bi
0.148 0.393 0.713 Bi
0.368 0.632 0.994 Bi
0.393 0.148 0.213 Bi
0.607 0.852 0.713 Bi
0.632 0.368 0.494 Bi
0.852 0.607 0.213 Bi
0.877 0.123 0.000 Bi
0.090 0.910 0.771 Pd
0.131 0.376 0.437 Pd
0.332 0.668 0.265 Pd
0.376 0.131 0.937 Pd
0.624 0.869 0.437 Pd
0.668 0.332 0.765 Pd
0.869 0.624 0.937 Pd
0.910 0.090 0.271 Pd
```



No. 15
## BiPd7 (PBE)

Data for a relaxed BiPd7 crystal.

Properties
Space group = P4/nmm, No. 129

POSCAR file:
```
BiPd7
1.0
2.948 0.000 0.000
0.000 2.948 0.000
0.000 0.000 40.406
Bi Pd
2 14
direct
0.250 0.250 0.160 Bi
0.750 0.750 0.840 Bi
0.250 0.250 0.257 Pd
0.250 0.250 0.346 Pd
0.250 0.250 0.434 Pd
0.250 0.250 0.522 Pd
0.250 0.250 0.610 Pd
0.250 0.250 0.698 Pd
0.250 0.250 0.789 Pd
0.750 0.750 0.211 Pd
0.750 0.750 0.302 Pd
0.750 0.750 0.390 Pd
0.750 0.750 0.478 Pd
0.750 0.750 0.566 Pd
0.750 0.750 0.654 Pd
0.750 0.750 0.743 Pd
```



No. 16
## BiPd2 (PBE)

Data for a relaxed BiPd2 crystal.

Properties
Space group = Fm-3m, No. 225

POSCAR file:
```
BiPd2
1.0
6.369 0.000 0.000
0.000 6.369 0.000
0.000 0.000 6.369
Bi Pd
4 8
direct
0.000 0.000 0.000 Bi
0.000 0.500 0.500 Bi
0.500 0.000 0.500 Bi
0.500 0.500 0.000 Bi
0.250 0.250 0.250 Pd
0.250 0.250 0.750 Pd
0.250 0.750 0.250 Pd
0.250 0.750 0.750 Pd
0.750 0.250 0.250 Pd
0.750 0.250 0.750 Pd
0.750 0.750 0.250 Pd
0.750 0.750 0.750 Pd
```



No. 17
## BiPd (PBE)

Data for a relaxed BiPd crystal.

Properties
Space group = P2_1, No. 4

POSCAR file:
```
BiPd
1.0
5.696 0.000 0.000
0.000 10.786 0.000
-1.084 0.000 5.618
Bi Pd
8 8
direct
0.109 0.000 0.157 Bi
0.122 0.779 0.651 Bi
0.350 0.496 0.398 Bi
0.361 0.285 0.892 Bi
0.639 0.785 0.108 Bi
0.650 0.996 0.602 Bi
0.878 0.279 0.349 Bi
0.891 0.500 0.843 Bi
0.153 0.725 0.163 Pd
0.171 0.049 0.677 Pd
0.393 0.221 0.404 Pd
0.410 0.557 0.913 Pd
0.590 0.057 0.087 Pd
0.607 0.721 0.596 Pd
0.829 0.549 0.323 Pd
0.847 0.225 0.837 Pd
```



No. 18
## Bi4Pd5 (PBE)

Data for a relaxed Bi4Pd5 crystal.

Properties
Space group = C2/m, No. 12

POSCAR file:
```
Bi4Pd5
1.0
5.258 -1.904 0.000
5.258 1.904 0.000
-4.579 0.000 9.523
Bi Pd
4 5
direct
0.088 0.088 0.382 Bi
0.281 0.281 0.845 Bi
0.719 0.719 0.155 Bi
0.912 0.912 0.618 Bi
0.000 0.000 0.000 Pd
0.364 0.364 0.387 Pd
0.428 0.428 0.152 Pd
0.572 0.572 0.848 Pd
0.636 0.636 0.613 Pd
```



No. 19
## BiPd9 (PBE)

Data for a relaxed BiPd9 crystal.

Properties
Distance to the lowest polymorph of the same formula = 0 meV per atom
Space group = Pmmn, No. 59

POSCAR file:
```
BiPd9
1.0
2.860 0.000 0.000
0.000 3.843 0.000
0.000 0.000 38.759
Bi Pd
2 18
direct
0.250 0.250 0.151 Bi
0.750 0.750 0.849 Bi
0.250 0.250 0.229 Pd
0.250 0.250 0.301 Pd
0.250 0.250 0.374 Pd
0.250 0.250 0.446 Pd
0.250 0.250 0.518 Pd
0.250 0.250 0.590 Pd
0.250 0.250 0.662 Pd
0.250 0.250 0.735 Pd
0.250 0.250 0.809 Pd
0.750 0.750 0.191 Pd
0.750 0.750 0.265 Pd
0.750 0.750 0.338 Pd
0.750 0.750 0.410 Pd
0.750 0.750 0.482 Pd
0.750 0.750 0.554 Pd
0.750 0.750 0.626 Pd
0.750 0.750 0.699 Pd
0.750 0.750 0.771 Pd
```



No. 20
## BiPd (PBE)

Data for a relaxed BiPd crystal.

Properties
Space group = Pmma, No. 51

POSCAR file:
```
BiPd
1.0
5.706 0.000 0.000
0.000 4.320 0.000
0.000 0.000 7.421
Bi Pd
4 4
direct
0.250 0.000 0.112 Bi
0.250 0.500 0.713 Bi
0.750 0.000 0.888 Bi
0.750 0.500 0.287 Bi
0.000 0.000 0.500 Pd
0.250 0.500 0.337 Pd
0.500 0.000 0.500 Pd
0.750 0.500 0.663 Pd
```



No. 21
## BiPd9 (PBE)

Data for a relaxed BiPd9 crystal.

Properties
Distance to the lowest polymorph of the same formula = 48 meV per atom
Space group = P4/nmm, No. 129

POSCAR file:
```
BiPd9
1.0
2.922 0.000 0.000
0.000 2.922 0.000
0.000 0.000 48.392
Bi Pd
2 18
direct
0.250 0.250 0.137 Bi
0.750 0.750 0.863 Bi
0.250 0.250 0.219 Pd
0.250 0.250 0.294 Pd
0.250 0.250 0.369 Pd
0.250 0.250 0.444 Pd
0.250 0.250 0.519 Pd
0.250 0.250 0.593 Pd
0.250 0.250 0.668 Pd
0.250 0.250 0.743 Pd
0.250 0.250 0.820 Pd
0.750 0.750 0.180 Pd
0.750 0.750 0.257 Pd
0.750 0.750 0.332 Pd
0.750 0.750 0.407 Pd
0.750 0.750 0.481 Pd
0.750 0.750 0.556 Pd
0.750 0.750 0.631 Pd
0.750 0.750 0.706 Pd
0.750 0.750 0.781 Pd
```



No. 22
## Bi3Pd7 (PBE)

Data for a relaxed Bi3Pd7 crystal.

Properties
Space group = C2/m, No. 12

POSCAR file:
```
Bi3Pd7
1.0
7.594 -2.150 0.000
7.594 2.150 0.000
-1.619 0.000 5.633
Bi Pd
3 7
direct
0.000 0.000 0.000 Bi
0.194 0.194 0.649 Bi
0.806 0.806 0.351 Bi
0.000 0.000 0.500 Pd
0.198 0.198 0.131 Pd
0.398 0.398 0.664 Pd
0.404 0.404 0.173 Pd
0.596 0.596 0.827 Pd
0.602 0.602 0.336 Pd
0.802 0.802 0.869 Pd
```



No. 23
## BiPd (PBE)

Data for a relaxed BiPd crystal.

Properties
Space group = P6_3/mmc, No. 194

POSCAR file:
```
BiPd
1.0
4.284 0.000 0.000
-2.142 3.710 0.000
0.000 0.000 5.758
Bi Pd
2 2
direct
0.333 0.667 0.250 Bi
0.667 0.333 0.750 Bi
0.000 0.000 0.000 Pd
0.000 0.000 0.500 Pd
```



No. 24
## PmBiPd (PBE)

Data for a relaxed PmBiPd crystal.

Properties
Magnetization = 0.0 Bohr magnetons per cell
Distance to the lowest polymorph of the same formula = 0 meV per atom
Space group = F-43m, No. 216

POSCAR file:
```
PmBiPd
1.0
6.818 0.000 0.000
0.000 6.818 0.000
0.000 0.000 6.818
Pm Bi Pd
4 4 4
direct
0.000 0.000 0.000 Pm
0.000 0.500 0.500 Pm
0.500 0.000 0.500 Pm
0.500 0.500 0.000 Pm
0.000 0.000 0.500 Bi
0.000 0.500 0.000 Bi
0.500 0.000 0.000 Bi
0.500 0.500 0.500 Bi
0.250 0.250 0.750 Pd
0.250 0.750 0.250 Pd
0.750 0.250 0.250 Pd
0.750 0.750 0.750 Pd
```



| no. | DFT total energy (eV/atom) |
| --- | --- |
| 1 | -4.779 |
| 2 | -4.550 |
| 3 | -4.023 |
| 4 | -4.212 |
| 5 | -5.819 |
| 6 | -2.784 |
| 7 | -4.807 |
| 8 | -4.912 |
| 9 | -5.043 |
| 10 | -4.757 |
| 11 | -4.728 |
| 12 | -4.491 |
| 13 | -5.050 |
| 14 | -4.921 |
| 15 | -4.998 |
| 16 | -4.892 |
| 17 | -4.923 |
| 18 | -4.935 |
| 19 | -5.074 |
| 20 | -4.861 |
| 21 | -5.025 |
| 22 | -5.072 |
| 23 | -4.933 |
| 24 | -5.620 |